(1)
Here is CsAcOF2 after structural relaxation from the Alexandria database. Energies are from GGA-PBE.

Calculated values
Crystal system   tetragonal
Total energy   -29.7 eV per formula unit
Size of the total moment   0.00 Bohr magnetons per cell
Space-group type   No. 123

a b c (Å): 5.0304 5.0304 4.7452
angles (deg): 90.00 90.00 90.00
Fractional coordinates of all 5 atoms:
1 Cs 0.0000 0.0000 0.0000
2 Ac 0.5000 0.5000 0.5000
3 O 0.5000 0.5000 0.0000
4 F 0.0000 0.5000 0.5000
5 F 0.5000 0.0000 0.5000


(2)
Here is Cs2AcPbF6 after structural relaxation from the Alexandria database. Energies are from GGA-PBE.

Calculated values
Crystal system   orthorhombic
Total energy   -50.4 eV per formula unit
Size of the total moment   2.00 Bohr magnetons per cell
Space-group type   No. 59

a b c (Å): 7.8068 9.6358 7.2587
angles (deg): 90.00 90.00 90.00
Fractional coordinates of all 20 atoms:
1 Cs 0.2500 0.0075 0.1449
2 Cs 0.2500 0.4925 0.1449
3 Cs 0.7500 0.5075 0.8551
4 Cs 0.7500 0.9925 0.8551
5 Ac 0.2500 0.7500 0.6466
6 Ac 0.7500 0.2500 0.3534
7 Pb 0.2500 0.2500 0.6609
8 Pb 0.7500 0.7500 0.3391
9 F 0.0185 0.7500 0.8627
10 F 0.0667 0.7500 0.3716
11 F 0.2500 0.5039 0.7007
12 F 0.2500 0.9961 0.7007
13 F 0.4333 0.7500 0.3716
14 F 0.4815 0.7500 0.8627
15 F 0.5185 0.2500 0.1373
16 F 0.5667 0.2500 0.6284
17 F 0.7500 0.0039 0.2993
18 F 0.7500 0.4961 0.2993
19 F 0.9333 0.2500 0.6284
20 F 0.9815 0.2500 0.1373


(3)
Here is CsAcPdF6 after structural relaxation from the Alexandria database. Energies are from GGA-PBE.

Calculated values
Crystal system   orthorhombic
Total energy   -46.9 eV per formula unit
Size of the total moment   0.00 Bohr magnetons per cell
Space-group type   No. 74

a b c (Å): 8.0154 8.0154 8.0154
angles (deg): 118.88 114.66 95.72
Fractional coordinates of all 18 atoms:
1 Cs 0.4218 0.1718 0.2500
2 Cs 0.5782 0.8282 0.7500
3 Ac 0.0000 0.0000 0.5000
4 Ac 0.0000 0.5000 0.0000
5 Pd 0.0000 0.5000 0.5000
6 Pd 0.5000 0.5000 0.0000
7 F 0.1163 0.3663 0.7500
8 F 0.1369 0.8869 0.2500
9 F 0.1403 0.4527 0.3281
10 F 0.1403 0.8122 0.6876
11 F 0.3754 0.1878 0.8281
12 F 0.3754 0.5473 0.1876
13 F 0.6246 0.4527 0.8124
14 F 0.6246 0.8122 0.1719
15 F 0.8597 0.1878 0.3124
16 F 0.8597 0.5473 0.6719
17 F 0.8631 0.1131 0.7500
18 F 0.8837 0.6337 0.2500


(4)
Here is CsAcPd2F8 after structural relaxation from the Alexandria database. Energies are from GGA-PBE.

Calculated values
Crystal system   trigonal
Total energy   -56.4 eV per formula unit
Size of the total moment   4.00 Bohr magnetons per cell
Space-group type   No. 147

a b c (Å): 5.5761 5.5761 10.0661
angles (deg): 90.00 90.00 120.00
Fractional coordinates of all 12 atoms:
1 Cs 0.0000 0.0000 0.0000
2 Ac 0.0000 0.0000 0.5000
3 Pd 0.3333 0.6667 0.7809
4 Pd 0.6667 0.3333 0.2191
5 F 0.0444 0.3540 0.6536
6 F 0.3096 0.9556 0.6536
7 F 0.3333 0.6667 0.9856
8 F 0.3540 0.3096 0.3464
9 F 0.6460 0.6904 0.6536
10 F 0.6667 0.3333 0.0144
11 F 0.6904 0.0444 0.3464
12 F 0.9556 0.6460 0.3464


(5)
Here is Cs2AcPd3F12 after structural relaxation from the Alexandria database. Energies are from GGA-PBE.

Calculated values
Crystal system   trigonal
Total energy   -84.0 eV per formula unit
Size of the total moment   0.00 Bohr magnetons per cell
Space-group type   No. 166

a b c (Å): 7.3757 7.3757 7.3757
angles (deg): 69.20 69.20 69.20
Fractional coordinates of all 18 atoms:
1 Cs 0.1147 0.1147 0.1147
2 Cs 0.8853 0.8853 0.8853
3 Ac 0.5000 0.5000 0.5000
4 Pd 0.0000 0.5000 0.5000
5 Pd 0.5000 0.0000 0.5000
6 Pd 0.5000 0.5000 0.0000
7 F 0.1160 0.6251 0.6251
8 F 0.2405 0.2405 0.5803
9 F 0.2405 0.5803 0.2405
10 F 0.3749 0.3749 0.8840
11 F 0.3749 0.8840 0.3749
12 F 0.4197 0.7595 0.7595
13 F 0.5803 0.2405 0.2405
14 F 0.6251 0.1160 0.6251
15 F 0.6251 0.6251 0.1160
16 F 0.7595 0.4197 0.7595
17 F 0.7595 0.7595 0.4197
18 F 0.8840 0.3749 0.3749


(6)
Here is Cs2RbAcF6 after structural relaxation from the Alexandria database. Energies are from GGA-PBE.

Calculated values
Crystal system   monoclinic
Total energy   -51.0 eV per formula unit
Size of the total moment   0.09 Bohr magnetons per cell
Space-group type   No. 12

a b c (Å): 7.1456 7.1456 7.1854
angles (deg): 119.98 119.98 59.87
Fractional coordinates of all 10 atoms:
1 Cs 0.2492 0.2492 0.2283
2 Cs 0.7508 0.7508 0.7717
3 Rb 0.0000 0.0000 0.5000
4 Ac 0.5000 0.5000 0.0000
5 F 0.2030 0.6712 0.1648
6 F 0.2738 0.2738 0.6661
7 F 0.3288 0.7970 0.8352
8 F 0.6712 0.2030 0.1648
9 F 0.7262 0.7262 0.3339
10 F 0.7970 0.3288 0.8352


(7)
Here is CsAcSeF2 after structural relaxation from the Alexandria database. Energies are from GGA-PBE.

Calculated values
Crystal system   tetragonal
Total energy   -26.6 eV per formula unit
Size of the total moment   0.00 Bohr magnetons per cell
Space-group type   No. 99

a b c (Å): 4.9903 4.9903 6.1341
angles (deg): 90.00 90.00 90.00
Fractional coordinates of all 5 atoms:
1 Cs 0.0000 0.0000 0.0000
2 Ac 0.5000 0.5000 0.4403
3 Se 0.5000 0.5000 0.9342
4 F 0.0000 0.5000 0.4208
5 F 0.5000 0.0000 0.4208


(8)
Here is CsSrAcF6 after structural relaxation from the Alexandria database. Energies are from GGA-PBE.

Calculated values
Crystal system   orthorhombic
Total energy   -51.1 eV per formula unit
Size of the total moment   0.10 Bohr magnetons per cell
Space-group type   No. 74

a b c (Å): 9.0771 9.0771 9.0771
angles (deg): 122.01 119.23 88.94
Fractional coordinates of all 18 atoms:
1 Cs 0.2799 0.0299 0.2500
2 Cs 0.7201 0.9701 0.7500
3 Sr 0.0000 0.0000 0.5000
4 Sr 0.0000 0.5000 0.0000
5 Ac 0.0000 0.5000 0.5000
6 Ac 0.5000 0.5000 0.0000
7 F 0.0391 0.4067 0.2222
8 F 0.0391 0.8169 0.6323
9 F 0.0653 0.8153 0.2500
10 F 0.3155 0.1831 0.7222
11 F 0.3155 0.5933 0.1323
12 F 0.3171 0.5671 0.7500
13 F 0.6829 0.4329 0.2500
14 F 0.6845 0.4067 0.8677
15 F 0.6845 0.8169 0.2778
16 F 0.9347 0.1847 0.7500
17 F 0.9609 0.1831 0.3677
18 F 0.9609 0.5933 0.7778


(9)
Here is Cs2AcTlF6 after structural relaxation from the Alexandria database. Energies are from GGA-PBE.

Calculated values
Crystal system   cubic
Total energy   -50.1 eV per formula unit
Size of the total moment   0.00 Bohr magnetons per cell
Space-group type   No. 225

a b c (Å): 7.2238 7.2238 7.2238
angles (deg): 60.00 60.00 60.00
Fractional coordinates of all 10 atoms:
1 Cs 0.2500 0.2500 0.2500
2 Cs 0.7500 0.7500 0.7500
3 Ac 0.0000 0.0000 0.0000
4 Tl 0.5000 0.5000 0.5000
5 F 0.2349 0.2349 0.7651
6 F 0.2349 0.7651 0.2349
7 F 0.2349 0.7651 0.7651
8 F 0.7651 0.2349 0.2349
9 F 0.7651 0.2349 0.7651
10 F 0.7651 0.7651 0.2349


Question: Number 4 is which compound?
Answer: CsAcPd2F8


Question: Which of these has the highest total energy?
Answer: CsAcSeF2


Question: Which of these has the highest size of the total moment?
Answer: CsAcPd2F8


Question: Look up the size of the total moment of the eighth one.
Answer: 0.10 Bohr magnetons per cell